(1)
Material: SrMo2As2
Method: DFT, PBE
State: optimized geometry

The structure in CIF format:
```
data_SrMo2As2
_symmetry_space_group_name_H-M 'I 4/m m m'
_symmetry_Int_Tables_number 139
_symmetry_space_group_name_Hall '-I 4 2'
_cell_length_a 4.909
_cell_length_b 4.909
_cell_length_c 8.767
_cell_angle_alpha 90.00
_cell_angle_beta 90.00
_cell_angle_gamma 90.00
loop_
_atom_site_label
_atom_site_type_symbol
_atom_site_fract_x
_atom_site_fract_y
_atom_site_fract_z
Sr1 Sr 0.000 0.000 0.000
Mo1 Mo 0.000 0.000 0.375
As1 As 0.000 0.500 0.250
```

Summary:
Calculated formation energy = -1.3 eV/f.u.
Relative energy among the computed polymorphs = 199 meV/atom



(2)
Material: SrMo2As
Method: DFT, PBE
State: optimized geometry

The structure in CIF format:
```
data_SrMo2As
_symmetry_space_group_name_H-M 'R -3 m'
_symmetry_Int_Tables_number 166
_symmetry_space_group_name_Hall '-R 3 2"'
_cell_length_a 3.1809
_cell_length_b 3.1809
_cell_length_c 27.3504
_cell_angle_alpha 90.00
_cell_angle_beta 90.00
_cell_angle_gamma 120.00
loop_
_atom_site_label
_atom_site_type_symbol
_atom_site_fract_x
_atom_site_fract_y
_atom_site_fract_z
Sr1 Sr 0.0000 0.0000 0.0000
Mo1 Mo 0.0000 0.0000 0.2331
As1 As 0.0000 0.0000 0.5000
```

Summary:
Calculated formation energy = 2.8 eV/f.u.



(3)
Material: SrMoAs2
Method: DFT, PBE
State: optimized geometry

The structure in CIF format:
```
data_SrMoAs2
_symmetry_space_group_name_H-M 'I -4 m 2'
_symmetry_Int_Tables_number 119
_symmetry_space_group_name_Hall 'I -4 -2'
_cell_length_a 4.145
_cell_length_b 4.145
_cell_length_c 10.251
_cell_angle_alpha 90.00
_cell_angle_beta 90.00
_cell_angle_gamma 90.00
loop_
_atom_site_label
_atom_site_type_symbol
_atom_site_fract_x
_atom_site_fract_y
_atom_site_fract_z
Sr1 Sr 0.000 0.000 0.000
Mo1 Mo 0.000 0.500 0.250
As1 As 0.000 0.000 0.500
As2 As 0.000 0.500 0.750
```

Summary:
Calculated formation energy = 0.9 eV/f.u.
Relative energy among the computed polymorphs = 652 meV/atom



(4)
Material: SrMo2As
Method: DFT, PBE
State: optimized geometry

The structure in CIF format:
```
data_SrMo2As
_symmetry_space_group_name_H-M 'C 1 2/m 1'
_symmetry_Int_Tables_number 12
_symmetry_space_group_name_Hall '-C 2y'
_cell_length_a 9.674
_cell_length_b 3.380
_cell_length_c 5.549
_cell_angle_alpha 90.00
_cell_angle_beta 102.19
_cell_angle_gamma 90.00
loop_
_atom_site_label
_atom_site_type_symbol
_atom_site_fract_x
_atom_site_fract_y
_atom_site_fract_z
Sr1 Sr 0.000 0.000 0.000
Mo1 Mo 0.224 0.000 0.640
As1 As 0.000 0.500 0.500
```

Summary:
Calculated formation energy = 1.3 eV/f.u.



(5)
Material: SrMoAs4
Method: DFT, PBE
State: optimized geometry

The structure in CIF format:
```
data_SrMoAs4
_symmetry_space_group_name_H-M 'F -4 3 m'
_symmetry_Int_Tables_number 216
_symmetry_space_group_name_Hall 'F -4 2 3'
_cell_length_a 8.083
_cell_length_b 8.083
_cell_length_c 8.083
_cell_angle_alpha 90.00
_cell_angle_beta 90.00
_cell_angle_gamma 90.00
loop_
_atom_site_label
_atom_site_type_symbol
_atom_site_fract_x
_atom_site_fract_y
_atom_site_fract_z
Sr1 Sr 0.000 0.000 0.000
Mo1 Mo 0.250 0.250 0.250
As1 As 0.124 0.124 0.624
```

Summary:
Calculated formation energy = 2.2 eV/f.u.



(6)
Material: SrMoAs2
Method: DFT, PBE
State: optimized geometry

The structure in CIF format:
```
data_SrMoAs2
_symmetry_space_group_name_H-M 'F -4 3 m'
_symmetry_Int_Tables_number 216
_symmetry_space_group_name_Hall 'F -4 2 3'
_cell_length_a 6.974
_cell_length_b 6.974
_cell_length_c 6.974
_cell_angle_alpha 90.00
_cell_angle_beta 90.00
_cell_angle_gamma 90.00
loop_
_atom_site_label
_atom_site_type_symbol
_atom_site_fract_x
_atom_site_fract_y
_atom_site_fract_z
Sr1 Sr 0.000 0.000 0.000
Mo1 Mo 0.250 0.250 0.750
As1 As 0.000 0.000 0.500
As2 As 0.250 0.250 0.250
```

Summary:
Calculated formation energy = 2.2 eV/f.u.
Relative energy among the computed polymorphs = 977 meV/atom



(7)
Material: Sr3MoAs
Method: DFT, PBE
State: optimized geometry

The structure in CIF format:
```
data_Sr3MoAs
_symmetry_space_group_name_H-M 'P m -3 m'
_symmetry_Int_Tables_number 221
_symmetry_space_group_name_Hall '-P 4 2 3'
_cell_length_a 5.958
_cell_length_b 5.958
_cell_length_c 5.958
_cell_angle_alpha 90.00
_cell_angle_beta 90.00
_cell_angle_gamma 90.00
loop_
_atom_site_label
_atom_site_type_symbol
_atom_site_fract_x
_atom_site_fract_y
_atom_site_fract_z
Sr1 Sr 0.000 0.000 0.500
Mo1 Mo 0.500 0.500 0.500
As1 As 0.000 0.000 0.000
```

Summary:
Calculated formation energy = 1.7 eV/f.u.
Relative energy among the computed polymorphs = 0 meV/atom



(8)
Material: SrMoAs2
Method: DFT, PBE
State: optimized geometry

The structure in CIF format:
```
data_SrMoAs2
_symmetry_space_group_name_H-M 'P 4 m m'
_symmetry_Int_Tables_number 99
_symmetry_space_group_name_Hall 'P 4 -2'
_cell_length_a 3.614
_cell_length_b 3.614
_cell_length_c 7.597
_cell_angle_alpha 90.00
_cell_angle_beta 90.00
_cell_angle_gamma 90.00
loop_
_atom_site_label
_atom_site_type_symbol
_atom_site_fract_x
_atom_site_fract_y
_atom_site_fract_z
Sr1 Sr 0.000 0.000 0.000
Mo1 Mo 0.500 0.500 0.539
As1 As 0.000 0.000 0.592
As2 As 0.500 0.500 0.224
```

Summary:
Calculated formation energy = -0.3 eV/f.u.
Relative energy among the computed polymorphs = 363 meV/atom



(9)
Material: SrMo2As
Method: DFT, PBE
State: optimized geometry

The structure in CIF format:
```
data_SrMo2As
_symmetry_space_group_name_H-M 'C 1 m 1'
_symmetry_Int_Tables_number 8
_symmetry_space_group_name_Hall 'C -2y'
_cell_length_a 8.332
_cell_length_b 3.371
_cell_length_c 6.586
_cell_angle_alpha 90.00
_cell_angle_beta 100.59
_cell_angle_gamma 90.00
loop_
_atom_site_label
_atom_site_type_symbol
_atom_site_fract_x
_atom_site_fract_y
_atom_site_fract_z
Sr1 Sr 0.000 0.000 0.000
Mo1 Mo 0.012 0.500 0.507
Mo2 Mo 0.280 0.500 0.373
As1 As 0.249 0.000 0.677
```

Summary:
Calculated formation energy = 0.6 eV/f.u.



(10)
Material: SrMo2As
Method: DFT, PBE
State: optimized geometry

The structure in CIF format:
```
data_SrMo2As
_symmetry_space_group_name_H-M 'I m m 2'
_symmetry_Int_Tables_number 44
_symmetry_space_group_name_Hall 'I 2 -2'
_cell_length_a 3.296
_cell_length_b 5.401
_cell_length_c 9.568
_cell_angle_alpha 90.00
_cell_angle_beta 90.00
_cell_angle_gamma 90.00
loop_
_atom_site_label
_atom_site_type_symbol
_atom_site_fract_x
_atom_site_fract_y
_atom_site_fract_z
Sr1 Sr 0.000 0.000 0.000
Mo1 Mo 0.000 0.000 0.516
Mo2 Mo 0.000 0.500 0.206
As1 As 0.000 0.500 0.784
```

Summary:
Calculated formation energy = 2.3 eV/f.u.



(11)
Material: SrMoAs2
Method: DFT, PBE
State: optimized geometry

The structure in CIF format:
```
data_SrMoAs2
_symmetry_space_group_name_H-M 'I -4 2 d'
_symmetry_Int_Tables_number 122
_symmetry_space_group_name_Hall 'I -4 2bw'
_cell_length_a 6.393
_cell_length_b 6.393
_cell_length_c 12.208
_cell_angle_alpha 90.00
_cell_angle_beta 90.00
_cell_angle_gamma 90.00
loop_
_atom_site_label
_atom_site_type_symbol
_atom_site_fract_x
_atom_site_fract_y
_atom_site_fract_z
Sr1 Sr 0.000 0.000 0.000
Mo1 Mo 0.000 0.000 0.500
As1 As 0.156 0.250 0.625
```

Summary:
Calculated formation energy = -0.8 eV/f.u.
Relative energy among the computed polymorphs = 236 meV/atom



(12)
Material: SrMo2As
Method: DFT, PBE
State: optimized geometry

The structure in CIF format:
```
data_SrMo2As
_symmetry_space_group_name_H-M 'P 4/m m m'
_symmetry_Int_Tables_number 123
_symmetry_space_group_name_Hall '-P 4 2'
_cell_length_a 3.438
_cell_length_b 3.438
_cell_length_c 7.059
_cell_angle_alpha 90.00
_cell_angle_beta 90.00
_cell_angle_gamma 90.00
loop_
_atom_site_label
_atom_site_type_symbol
_atom_site_fract_x
_atom_site_fract_y
_atom_site_fract_z
Sr1 Sr 0.000 0.000 0.000
Mo1 Mo 0.500 0.500 0.332
As1 As 0.000 0.000 0.500
```

Summary:
Calculated formation energy = 1.7 eV/f.u.



Number 1: theoretical density 6.749 Mg/m³, Fermi-level density of states 3.62 states/eV/cell. Number 2: theoretical density 7.367 Mg/m³, Fermi-level density of states 11.48 states/eV/cell. Number 3: theoretical density 6.286 Mg/m³, Fermi-level density of states 4.20 states/eV/cell. Number 4: theoretical density 6.637 Mg/m³, Fermi-level density of states 8.28 states/eV/cell. Number 5: theoretical density 6.077 Mg/m³, Fermi-level density of states 19.76 states/eV/cell. Number 6: theoretical density 6.529 Mg/m³, Fermi-level density of states 10.65 states/eV/cell. Number 7: theoretical density 3.405 Mg/m³, Fermi-level density of states 4.14 states/eV/cell. Number 8: theoretical density 5.581 Mg/m³, Fermi-level density of states 5.52 states/eV/cell. Number 9: theoretical density 6.474 Mg/m³, Fermi-level density of states 6.08 states/eV/cell. Number 10: theoretical density 6.910 Mg/m³, Fermi-level density of states 5.82 states/eV/cell. Number 11: theoretical density 4.439 Mg/m³, Fermi-level density of states 11.98 states/eV/cell. Number 12: theoretical density 7.055 Mg/m³, Fermi-level density of states 3.14 states/eV/cell.